Entry 1:
CePa2In: optimized geometry, PBE-GGA.

The calculation puts the energy relative to the lowest polymorph listed for this composition at 0.198 eV per atom. The value obtained for the calculated formation energy is 0.8 eV/f.u. Its symmetry is R-3m. Its density of states at the Fermi level is 3.03 states/eV per atom.

Cell: 5.210 5.210 5.217 Å, 60.05 60.05 60.00°
Fractional coordinates of all 4 atoms:
Pa  0.249  0.249  0.252
Pa  0.751  0.751  0.748
Ce  0.500  0.500  0.500
In  0.000  0.000  0.000


Entry 2:
LuMgAg: optimized geometry, PBE-GGA.

The value obtained for the calculated formation energy is -0.6 eV/f.u. Its symmetry is I4mm. Its density of states at the Fermi level is 0.60 states/eV per atom.

Cell: 3.429 3.429 6.267 Å, 105.88 105.88 90.00°
Fractional coordinates of all 3 atoms:
Mg  0.312  0.312  0.624
Lu  0.013  0.013  0.026
Ag  0.675  0.675  0.349


Entry 3:
TeOsBr2: optimized geometry, PBE-GGA.

The calculation puts the energy relative to the lowest polymorph listed for this composition at 0.824 eV per atom. Its symmetry is P4/mmm. Its density of states at the Fermi level is 1.14 states/eV per atom. For the formation energy without anion corrections, the calculation gives 891 meV/atom.

Cell: 3.164 3.165 10.268 Å, 90.00 90.00 90.00°
Fractional coordinates of all 4 atoms:
Te  0.500  0.500  0.750
Os  0.500  0.500  0.250
Br  0.000  0.000  0.097
Br  0.000  0.000  0.403


Entry 4:
TaNb2BrF: optimized geometry, PBE-GGA.

Its symmetry is P4/mmm. Its density of states at the Fermi level is 0.97 states/eV per atom. For the formation energy without anion corrections, the calculation gives 573 meV/atom.

Cell: 4.440 4.379 4.440 Å, 90.00 90.00 90.00°
Fractional coordinates of all 5 atoms:
Nb  0.000  0.000  0.500
Nb  0.500  0.000  0.000
F  0.000  0.000  0.000
Br  0.500  0.500  0.500
Ta  0.000  0.500  0.000


Entry 5:
Hf2PN2: optimized geometry, PBE-GGA.

Its symmetry is I4/mmm. Its density of states at the Fermi level is 0.24 states/eV per atom. For the formation energy without anion corrections, the calculation gives -996 meV/atom.

Cell: 4.357 4.357 4.793 Å, 62.97 62.97 90.00°
Fractional coordinates of all 5 atoms:
P  0.000  0.000  0.000
Hf  0.750  0.250  0.500
Hf  0.250  0.750  0.500
N  0.289  0.289  0.422
N  0.711  0.711  0.578


Entry 6:
Tc2MoOs: optimized geometry, PBE-GGA.

The calculation puts the energy relative to the lowest polymorph listed for this composition at 0.000 eV per atom. The value obtained for the calculated formation energy is 0.3 eV/f.u. Its symmetry is P4/mmm. Its density of states at the Fermi level is 1.18 states/eV per atom.

Cell: 3.909 3.898 3.898 Å, 90.00 90.00 90.00°
Fractional coordinates of all 4 atoms:
Mo  0.500  0.500  0.000
Os  0.500  0.000  0.500
Tc  0.000  0.000  0.000
Tc  0.000  0.500  0.500


Entry 7:
DySn8Rh2: optimized geometry, PBE-GGA.

The value obtained for the calculated formation energy is -3.1 eV/f.u. Its symmetry is C2/m. Its density of states at the Fermi level is 0.60 states/eV per atom.

Cell: 4.959 7.744 7.744 Å, 114.07 93.73 93.73°
Fractional coordinates of all 11 atoms:
Dy  0.500  0.000  0.000
Sn  0.896  0.940  0.668
Sn  0.896  0.668  0.940
Sn  0.293  0.613  0.613
Sn  0.500  0.748  0.252
Sn  0.500  0.252  0.748
Sn  0.707  0.387  0.387
Sn  0.104  0.332  0.060
Sn  0.104  0.060  0.332
Rh  0.000  0.326  0.674
Rh  0.000  0.674  0.326


Entry 8:
NdDy4Pt4: optimized geometry, PBE-GGA.

The value obtained for the calculated formation energy is -9.4 eV/f.u. Its symmetry is P4_2/n. Its density of states at the Fermi level is 0.76 states/eV per atom.

Cell: 5.735 9.124 9.124 Å, 90.00 90.00 90.00°
Fractional coordinates of all 18 atoms:
Nd  0.000  0.000  0.000
Nd  0.500  0.500  0.500
Dy  0.420  0.331  0.900
Dy  0.920  0.600  0.831
Dy  0.420  0.669  0.100
Dy  0.080  0.169  0.600
Dy  0.580  0.900  0.669
Dy  0.080  0.831  0.400
Dy  0.920  0.400  0.169
Dy  0.580  0.100  0.331
Pt  0.580  0.791  0.373
Pt  0.580  0.209  0.627
Pt  0.080  0.873  0.709
Pt  0.920  0.291  0.873
Pt  0.920  0.709  0.127
Pt  0.420  0.373  0.209
Pt  0.420  0.627  0.791
Pt  0.080  0.127  0.291